Version 1
{
  "formula": "Ca3TcSb",
  "functional": "PBE",
  "state": "optimized geometry",
  "dos_at_fermi_per_ev_cell": 7.47,
  "sg": "No. 221",
  "magnetic_moment_mub_per_fu": 3.813,
  "cell": [[5.847, 0.000, 0.000], [0.000, 5.847, 0.000], [0.000, 0.000, 5.847]],
  "species": ["Sb", "Ca", "Ca", "Ca", "Tc"],
  "frac_coords": [[0.000, 0.000, 0.000], [0.000, 0.500, 0.000], [0.000, 0.000, 0.500], [0.500, 0.000, 0.000], [0.500, 0.500, 0.500]]
}



Version 2
{
  "formula": "Ca3TcSb",
  "functional": "PBE",
  "state": "optimized geometry",
  "dos_at_fermi_per_ev_cell": 4.15,
  "sg": "No. 221",
  "magnetic_moment_mub_per_fu": 2.000,
  "cell": [[5.394, 0.000, 0.000], [0.000, 5.394, 0.000], [0.000, 0.000, 5.394]],
  "species": ["Sb", "Ca", "Ca", "Ca", "Tc"],
  "frac_coords": [[0.500, 0.500, 0.500], [0.000, 0.500, 0.000], [0.000, 0.000, 0.500], [0.500, 0.000, 0.000], [0.000, 0.000, 0.000]]
}



List of relative energies, unit meV/atom: version 1 276; version 2 0



Version 1
{
  "formula": "CaTc3Sb",
  "functional": "PBE",
  "state": "optimized geometry",
  "dos_at_fermi_per_ev_cell": 8.14,
  "sg": "No. 221",
  "magnetic_moment_mub_per_fu": 3.225,
  "cell": [[4.931, 0.000, 0.000], [0.000, 4.931, 0.000], [0.000, 0.000, 4.931]],
  "species": ["Sb", "Ca", "Tc", "Tc", "Tc"],
  "frac_coords": [[0.000, 0.000, 0.000], [0.500, 0.500, 0.500], [0.000, 0.500, 0.000], [0.000, 0.000, 0.500], [0.500, 0.000, 0.000]]
}



Version 2
{
  "formula": "CaTc3Sb",
  "functional": "PBE",
  "state": "optimized geometry",
  "dos_at_fermi_per_ev_cell": 5.22,
  "sg": "No. 221",
  "magnetic_moment_mub_per_fu": 4.002,
  "cell": [[4.718, 0.000, 0.000], [0.000, 4.718, 0.000], [0.000, 0.000, 4.718]],
  "species": ["Sb", "Ca", "Tc", "Tc", "Tc"],
  "frac_coords": [[0.500, 0.500, 0.500], [0.000, 0.000, 0.000], [0.000, 0.500, 0.000], [0.000, 0.000, 0.500], [0.500, 0.000, 0.000]]
}



List of relative energies, unit meV/atom: version 1 0; version 2 967



Version 1
{
  "formula": "CaTcSbTe2",
  "functional": "PBE",
  "state": "optimized geometry",
  "dos_at_fermi_per_ev_cell": 3.59,
  "sg": "No. 123",
  "magnetic_moment_mub_per_fu": 1.882,
  "cell": [[5.525, 0.000, 0.000], [0.000, 5.525, 0.000], [0.000, 0.000, 5.032]],
  "species": ["Sb", "Ca", "Te", "Te", "Tc"],
  "frac_coords": [[0.000, 0.000, 0.500], [0.500, 0.500, 0.500], [0.000, 0.500, 0.000], [0.500, 0.000, 0.000], [0.000, 0.000, 0.000]]
}



Version 2
{
  "formula": "CaTcSbTe2",
  "functional": "PBE",
  "state": "optimized geometry",
  "dos_at_fermi_per_ev_cell": 7.15,
  "sg": "No. 123",
  "magnetic_moment_mub_per_fu": 0.015,
  "cell": [[-0.236, 5.387, 1.678], [-3.053, 1.291, -4.572], [-4.746, -1.099, 2.859]],
  "species": ["Sb", "Ca", "Te", "Te", "Tc"],
  "frac_coords": [[0.000, 0.000, 0.500], [0.000, 0.000, 0.000], [0.000, 0.500, 0.000], [0.500, 0.000, 0.000], [0.500, 0.500, 0.500]]
}



List of relative energies, unit meV/atom: version 1 0; version 2 1366